A plane-wave DFT calculation with PBE was carried out for an optimized crystal structure of BaRhW3.

Properties
- Formation energy: 376.3 kJ/mol of atoms

Cell and atoms, written as POSCAR:
```
BaRhW3
1.0
4.8874 0.0000 0.0000
0.0000 4.8874 0.0000
0.0000 0.0000 4.8874
Ba Rh W
1 1 3
direct
0.0000 0.0000 0.0000 Ba
0.5000 0.5000 0.5000 Rh
0.0000 0.0000 0.5000 W
0.0000 0.5000 0.0000 W
0.5000 0.0000 0.0000 W
```